Li12In2Hg after structural relaxation, computed with PBE-GGA.

Calculated values
Calculated density ... 2.8 g cm⁻³
Energy relative to the elements ... -0.023 eV/atom
D(E_F) ... 0.40 states/eV per atom

Cell: 5.456 5.456 20.578 Å, 90.00 90.00 90.00°
Space group P4/nbm (No. 125, origin choice 2)
Unique sites:
Li: 0.000 0.000 0.097 [8 per cell]
Li: 0.070 0.570 0.439 [8 per cell]
Li: 0.250 0.250 0.211 [4 per cell]
Li: 0.250 0.250 0.340 [4 per cell]
In: 0.250 0.750 0.291 [4 per cell]
Hg: 0.250 0.750 0.000 [2 per cell]